1.
La6CeS8 after structural relaxation. Source: the Alexandria database, functional PBE.

Unit cell a=11.728 b=11.728 c=11.728 alpha=90.00 beta=90.00 gamma=90.00
Space group Fm-3m (No. 225)
Inequivalent atoms, fractional coordinates:
La (0.000, 0.250, 0.250) x24
Ce (0.000, 0.000, 0.000) x4
S (0.000, 0.000, 0.244) x24
S (0.250, 0.250, 0.250) x8

Calculated values
**Crystal system**: cubic


2.
La4CeS7 after structural relaxation. Source: the Alexandria database, functional PBE.

Unit cell a=13.694 b=4.036 c=12.010 alpha=90.00 beta=105.47 gamma=90.00
Space group Cm (No. 8)
Inequivalent atoms, fractional coordinates:
La (0.000, 0.000, 0.000) x2
La (0.087, 0.500, 0.386) x2
La (0.190, 0.000, 0.768) x2
La (0.388, 0.500, 0.576) x2
Ce (0.276, 0.500, 0.155) x2
S (0.047, 0.500, 0.627) x2
S (0.128, 0.500, 0.931) x2
S (0.154, 0.000, 0.225) x2
S (0.229, 0.000, 0.526) x2
S (0.344, 0.500, 0.792) x2
S (0.385, 0.000, 0.077) x2
S (0.432, 0.500, 0.359) x2

Calculated values
**Crystal system**: monoclinic


In order of appearance, raw total energy = -401.85 -160.24 eV for the cell shown.
In order of appearance, ΔE_f (raw) = -2.13 -2.13 eV/atom.